A relaxed ScFe3 crystal. Source: Alexandria via LeMat-Bulk, functional PBE-GGA.

a b c (Å): 2.716 4.066 5.089
angles (deg): 90.00 76.73 90.00
Last column: magnetic moment on the atom in μB.
Atoms (fractional coordinates):
Fe (0.036, 0.000, 0.029)  2.30
Fe (0.464, 0.000, 0.471)  2.30
Fe (0.250, 0.500, 0.250)  2.15
Sc (0.750, 0.500, 0.750)  -0.44

Results
As for the uncorrected energy: -31.39 eV for the cell shown. As for the formation energy: 0.081 eV per atom. The density of states at the Fermi level comes out at 4.28 states/eV/f.u. As for the space group: P2/m (10).


A relaxed Si2TeIr crystal. Source: Alexandria via LeMat-Bulk, functional PBE-GGA.

a b c (Å): 5.905 5.905 5.905
angles (deg): 151.30 130.37 58.34
Atoms (fractional coordinates):
Ir (0.250, 0.750, 0.500)
Si (0.049, 0.049, 0.000)
Si (0.451, 0.451, 0.000)
Te (0.750, 0.250, 0.500)

Results
As for the uncorrected energy: -21.41 eV for the cell shown. The value obtained for the uncorrected formation energy is 35 kJ/mol of atoms. The density of states at the Fermi level comes out at 2.34 states/eV/f.u. As for the space group: Immm (71).


A relaxed Cr2ReNi crystal. Source: Alexandria via LeMat-Bulk, functional PBE-GGA.

a b c (Å): 4.690 4.690 4.690
angles (deg): 141.31 128.79 65.98
Atoms (fractional coordinates):
Cr (0.991, 0.991, 0.000)
Cr (0.765, 0.265, 0.500)
Ni (0.506, 0.506, 0.000)
Re (0.238, 0.738, 0.500)

Results
As for the uncorrected energy: -37.04 eV for the cell shown. As for the formation energy: 0.108 eV per atom. The density of states at the Fermi level comes out at 4.01 states/eV/f.u. As for the space group: Imm2 (44).


A relaxed Na3InHg3 crystal. Source: Alexandria via LeMat-Bulk, functional PBE-GGA.

a b c (Å): 8.185 8.185 8.185
angles (deg): 90.00 90.00 90.00
Atoms (fractional coordinates):
Na (0.000, 0.250, 0.500)
Na (0.000, 0.750, 0.500)
Na (0.500, 0.000, 0.750)
Na (0.750, 0.500, 0.000)
Na (0.500, 0.000, 0.250)
Na (0.250, 0.500, 0.000)
Hg (0.250, 0.000, 0.500)
Hg (0.000, 0.500, 0.250)
Hg (0.500, 0.750, 0.000)
Hg (0.750, 0.000, 0.500)
Hg (0.000, 0.500, 0.750)
Hg (0.500, 0.250, 0.000)
In (0.500, 0.500, 0.500)
In (0.000, 0.000, 0.000)

Results
The calculation puts the relative energy among the computed polymorphs at 378.4 meV per atom. As for the uncorrected energy: -12.49 eV for the cell shown. As for the formation energy: 0.194 eV per atom. The density of states at the Fermi level comes out at 5.45 states/eV/f.u. As for the space group: Pm-3n (223).


A relaxed Ba16H3Au5 crystal. Source: Alexandria via LeMat-Bulk, functional PBE-GGA.

a b c (Å): 9.151 9.151 15.012
angles (deg): 92.68 92.68 62.31
Atoms (fractional coordinates):
Ba (0.304, 0.821, 0.398)
Ba (0.502, 0.502, 0.658)
Ba (0.679, 0.679, 0.904)
Ba (0.990, 0.990, 0.666)
Ba (0.986, 0.986, 0.166)
Ba (0.821, 0.304, 0.398)
Ba (0.518, 0.976, 0.659)
Ba (0.976, 0.518, 0.659)
Ba (0.169, 0.169, 0.913)
Ba (0.824, 0.824, 0.394)
Ba (0.043, 0.503, 0.169)
Ba (0.503, 0.043, 0.169)
Ba (0.326, 0.326, 0.419)
Ba (0.158, 0.676, 0.904)
Ba (0.525, 0.525, 0.157)
Ba (0.676, 0.158, 0.904)
H (0.836, 0.836, 0.778)
H (0.085, 0.735, 0.284)
H (0.735, 0.085, 0.284)
Au (0.335, 0.836, 0.785)
Au (0.656, 0.656, 0.518)
Au (0.836, 0.335, 0.785)
Au (0.164, 0.164, 0.284)
Au (0.353, 0.353, 0.030)

Results
As for the uncorrected energy: -66.18 eV for the cell shown. The density of states at the Fermi level comes out at 20.38 states/eV/f.u. As for the space group: Cm (8).


A relaxed Zr6TlCu crystal. Source: Alexandria via LeMat-Bulk, functional PBE-GGA.

a b c (Å): 7.873 7.871 5.565
angles (deg): 45.02 45.01 60.01
Atoms (fractional coordinates):
Zr (0.000, 0.499, 0.746)
Zr (0.755, 0.000, 0.747)
Zr (0.500, 0.245, 0.254)
Zr (0.245, 0.000, 0.253)
Zr (0.000, 0.501, 0.254)
Zr (0.500, 0.755, 0.746)
Tl (0.500, 0.500, 0.500)
Cu (0.000, 0.000, 0.000)

Results
As for the uncorrected energy: -58.18 eV for the cell shown. As for the formation energy: -0.053 eV per atom. The density of states at the Fermi level comes out at 9.01 states/eV/f.u. As for the space group: R-3 (148).


A relaxed CrHS2 crystal. Source: Alexandria via LeMat-Bulk, functional PBE-GGA.

a b c (Å): 7.634 7.634 7.634
angles (deg): 22.05 22.05 22.05
Atoms (fractional coordinates):
Cr (0.548, 0.548, 0.548)
S (0.147, 0.147, 0.147)
S (0.649, 0.649, 0.649)
H (0.907, 0.907, 0.907)

Results
The calculation puts the relative energy among the computed polymorphs at 387.2 meV per atom. As for the uncorrected energy: -21.54 eV for the cell shown. The density of states at the Fermi level comes out at 3.07 states/eV/f.u. As for the space group: R3m (160).


A relaxed Na3Tm3ThTe8 crystal. Source: Alexandria via LeMat-Bulk, functional PBE-GGA.

a b c (Å): 8.794 8.794 9.138
angles (deg): 118.79 90.00 120.00
Atoms (fractional coordinates):
Na (0.000, 0.000, 0.000)
Na (0.000, 0.500, 0.000)
Na (0.500, 0.500, 0.000)
Tm (0.500, 0.000, 0.500)
Tm (0.500, 0.500, 0.500)
Tm (0.000, 0.500, 0.500)
Th (0.000, 0.000, 0.500)
Te (0.257, 0.514, 0.271)
Te (0.743, 0.486, 0.729)
Te (0.751, 0.502, 0.268)
Te (0.249, 0.498, 0.732)
Te (0.751, 0.016, 0.268)
Te (0.249, 0.984, 0.732)
Te (0.265, 0.016, 0.268)
Te (0.735, 0.984, 0.732)

Results
As for the uncorrected energy: -68.91 eV for the cell shown. The value obtained for the uncorrected formation energy is -122 kJ/mol of atoms. As for the space group: R-3m (166).